(1)
Below is crystalline LiPb2Au at its relaxed geometry, with properties calculated at the GGA-PBEsol level.

The structure belongs to space group P4/mmm (No. 123); the cell edges are 4.8612, 4.8612 and 3.7921 Å and the angles 90.00°, 90.00° and 90.00°. Symmetry generates all atoms from Li at (0.0000, 0.0000, 0.0000), Pb at (0.0000, 0.5000, 0.5000) and Au at (0.5000, 0.5000, 0.0000).

The value obtained for the energy relative to the lowest polymorph listed for this composition is 33 meV/atom.


(2)
Below is crystalline Li2PdAu2 at its relaxed geometry, with properties calculated at the GGA-PBEsol level.

The structure belongs to space group I4/mmm (No. 139); the cell edges are 3.8312, 3.8312 and 10.2239 Å and the angles 90.00°, 90.00° and 90.00°. Symmetry generates all atoms from Li at (0.0000, 0.0000, 0.0998), Pd at (0.0000, 0.0000, 0.5000) and Au at (0.0000, 0.5000, 0.2500).


(3)
Below is crystalline LiPdAu at its relaxed geometry, with properties calculated at the GGA-PBEsol level.

The structure belongs to space group C2 (No. 5); the cell edges are 4.7873, 8.2759 and 4.8023 Å and the angles 90.00°, 111.07° and 90.00°. Symmetry generates all atoms from Li at (0.0000, 0.0000, 0.0000), Li at (0.0000, 0.3327, 0.0000), Pd at (0.0000, 0.1630, 0.5000), Pd at (0.0000, 0.8300, 0.5000), Au at (0.0000, 0.4944, 0.5000) and Au at (0.0000, 0.6695, 0.0000).


| no. | E_form (meV/atom) | total energy (eV per atom) | total moment (μB per atom) |
| --- | --- | --- | --- |
| 1 | -160 | -3.63 | 0.000 |
| 2 | -131 | -3.68 | 0.000 |
| 3 | -417 | -4.37 | 0.000 |